# 1
Material: SmSiGe2Ir
Method: DFT, PBE
State: relaxed

Unit cell a=4.373 b=4.373 c=9.965 alpha=90.00 beta=90.00 gamma=90.00
Element x y z (fractional)
Sm (0.000, 0.000, 0.000)
Sm (0.500, 0.500, 0.500)
Si (0.000, 0.000, 0.582)
Si (0.500, 0.500, 0.082)
Ge (0.000, 0.500, 0.234)
Ge (0.000, 0.500, 0.734)
Ge (0.500, 0.000, 0.234)
Ge (0.500, 0.000, 0.734)
Ir (0.000, 0.000, 0.350)
Ir (0.500, 0.500, 0.850)

Calculated values
The electronic total energy is -6.322 eV/atom.

# 2
Material: NaDyPb
Method: DFT, PBE
State: relaxed

Unit cell a=7.311 b=7.311 c=7.311 alpha=90.00 beta=90.00 gamma=90.00
Element x y z (fractional)
Na (0.000, 0.000, 0.000)
Na (0.000, 0.500, 0.500)
Na (0.500, 0.000, 0.500)
Na (0.500, 0.500, 0.000)
Dy (0.250, 0.250, 0.250)
Dy (0.250, 0.750, 0.750)
Dy (0.750, 0.250, 0.750)
Dy (0.750, 0.750, 0.250)
Pb (0.000, 0.000, 0.500)
Pb (0.000, 0.500, 0.000)
Pb (0.500, 0.000, 0.000)
Pb (0.500, 0.500, 0.500)

Calculated values
The electronic total energy is -3.103 eV/atom.

# 3
Material: HfCoHgAs
Method: DFT, PBE
State: relaxed

Unit cell a=6.582 b=6.582 c=6.582 alpha=90.00 beta=90.00 gamma=90.00
Element x y z (fractional)
Hf (0.000, 0.000, 0.000)
Hf (0.000, 0.500, 0.500)
Hf (0.500, 0.000, 0.500)
Hf (0.500, 0.500, 0.000)
Co (0.250, 0.250, 0.750)
Co (0.250, 0.750, 0.250)
Co (0.750, 0.250, 0.250)
Co (0.750, 0.750, 0.750)
Hg (0.250, 0.250, 0.250)
Hg (0.250, 0.750, 0.750)
Hg (0.750, 0.250, 0.750)
Hg (0.750, 0.750, 0.250)
As (0.000, 0.000, 0.500)
As (0.000, 0.500, 0.000)
As (0.500, 0.000, 0.000)
As (0.500, 0.500, 0.500)

Calculated values
Its energy above the most stable polymorph in this dataset is 122 meV/atom.

# 4
Material: Rb2ReHgF6
Method: DFT, PBE
State: relaxed

Unit cell a=6.476 b=6.476 c=5.431 alpha=98.70 beta=98.70 gamma=53.37
Element x y z (fractional)
Rb (0.232, 0.232, 0.273)
Rb (0.768, 0.768, 0.727)
Re (0.500, 0.500, 0.000)
Hg (0.000, 0.000, 0.500)
F (0.153, 0.629, 0.083)
F (0.371, 0.847, 0.917)
F (0.399, 0.399, 0.667)
F (0.601, 0.601, 0.333)
F (0.629, 0.153, 0.083)
F (0.847, 0.371, 0.917)

Calculated values
The electronic total energy is -4.647 eV/atom.

# 5
Material: NpCdBi2
Method: DFT, PBE
State: relaxed

Unit cell a=4.995 b=4.995 c=4.328 alpha=90.00 beta=90.00 gamma=90.00
Element x y z (fractional)
Np (0.000, 0.000, 0.000)
Cd (0.500, 0.500, 0.000)
Bi (0.000, 0.500, 0.500)
Bi (0.500, 0.000, 0.500)

Calculated values
The electronic total energy is -5.502 eV/atom.

# 6
Material: Pm2Ho
Method: DFT, PBE
State: relaxed

Unit cell a=6.631 b=6.631 c=6.631 alpha=60.00 beta=60.00 gamma=60.00
Element x y z (fractional)
Pm (0.000, 0.000, 0.000)
Pm (0.000, 0.000, 0.500)
Pm (0.000, 0.500, 0.000)
Pm (0.500, 0.000, 0.000)
Ho (0.375, 0.375, 0.375)
Ho (0.625, 0.625, 0.625)

Calculated values
Its energy above the most stable polymorph in this dataset is 0 meV/atom. The formation energy comes out at 0.26 eV per atom.

# 7
Material: ZnReB4
Method: DFT, PBE
State: relaxed

Unit cell a=2.967 b=2.967 c=7.120 alpha=90.00 beta=90.00 gamma=120.00
Element x y z (fractional)
Zn (0.000, 0.000, 0.000)
Re (0.000, 0.000, 0.500)
B (0.333, 0.667, 0.258)
B (0.333, 0.667, 0.742)
B (0.667, 0.333, 0.258)
B (0.667, 0.333, 0.742)

Calculated values
Its energy above the most stable polymorph in this dataset is 51 meV/atom.

# 8
Material: DyHf2In3Ir2
Method: DFT, PBE
State: relaxed

Unit cell a=3.336 b=13.296 c=7.546 alpha=90.00 beta=90.00 gamma=90.00
Element x y z (fractional)
Dy (0.000, 0.000, 0.000)
Dy (0.000, 0.500, 0.500)
Hf (0.000, 0.212, 0.632)
Hf (0.000, 0.288, 0.132)
Hf (0.000, 0.712, 0.132)
Hf (0.000, 0.788, 0.632)
In (0.500, 0.000, 0.647)
In (0.500, 0.117, 0.307)
In (0.500, 0.383, 0.807)
In (0.500, 0.500, 0.147)
In (0.500, 0.617, 0.807)
In (0.500, 0.883, 0.307)
Ir (0.500, 0.174, 0.915)
Ir (0.500, 0.326, 0.415)
Ir (0.500, 0.674, 0.415)
Ir (0.500, 0.826, 0.915)

Calculated values
The electronic total energy is -6.901 eV/atom.